A relaxed structure of Mg2Sn2WN6. Source: the Alexandria database, functional PBE. Values from VASP.

Quantum ESPRESSO input file:
```
&SYSTEM
  ibrav = 0, nat = 11, ntyp = 4
/
ATOMIC_SPECIES
Mg 24.30 Mg.upf
Sn 118.71 Sn.upf
W 183.84 W.upf
N 14.01 N.upf
ATOMIC_POSITIONS angstrom
Mg 2.784 3.058 0.000
Mg 2.784 -3.058 0.000
Sn 1.840 1.525 2.585
Sn 1.840 -1.525 2.585
W -0.945 0.000 2.585
N -0.102 1.528 3.768
N 0.736 0.000 1.443
N -0.102 -1.528 3.768
N 3.781 1.528 1.402
N 2.944 0.000 3.727
N 3.781 -1.528 1.402
CELL_PARAMETERS angstrom
2.784 -4.666 0.000
2.784 4.666 0.000
-1.890 0.000 5.170
```

Computed properties:
**Raw formation energy**: -0.0626 eV/atom
**Size of the total moment**: 0.000 μB/atom
**Raw total energy**: -6.80 eV per atom
**N(E_F)**: 0.0 states/eV/f.u.